# GGA-PBE HgWCl5, optimized geometry
data_HgWCl5
_chemical_formula_sum 'Hg4 W4 Cl20'
_symmetry_space_group_name_H-M 'C 1 2/c 1'
_symmetry_Int_Tables_number 15
_cell_length_a 12.5406
_cell_length_b 10.1335
_cell_length_c 8.8976
_cell_angle_alpha 90.00
_cell_angle_beta 114.82
_cell_angle_gamma 90.00
loop_
_symmetry_equiv_pos_as_xyz
'x,y,z'
'-x,-y,-z'
'-x,y,-z+1/2'
'x,-y,z+1/2'
'x+1/2,y+1/2,z'
'-x+1/2,-y+1/2,-z'
'-x+1/2,y+1/2,-z+1/2'
'x+1/2,-y+1/2,z+1/2'
loop_
_atom_site_label
_atom_site_type_symbol
_atom_site_fract_x
_atom_site_fract_y
_atom_site_fract_z
_atom_site_occupancy
Hg1 Hg 0.0000 0.0190 0.2500 1
W1 W 0.0000 0.5000 0.0000 1
Cl1 Cl 0.0000 0.3990 0.2500 1
Cl2 Cl 0.0922 0.3113 0.9706 1
Cl3 Cl 0.1807 0.4051 0.6522 1
# - Final energy: -108.2 eV/cell

***

# GGA-PBE Tl, optimized geometry
data_Tl
_chemical_formula_sum 'Tl2'
_symmetry_space_group_name_H-M 'P 63/m m c'
_symmetry_Int_Tables_number 194
_symmetry_space_group_name_Hall '-P 6c 2c'
_cell_length_a 3.5538
_cell_length_b 3.5538
_cell_length_c 5.6855
_cell_angle_alpha 90.00
_cell_angle_beta 90.00
_cell_angle_gamma 120.00
loop_
_atom_site_label
_atom_site_type_symbol
_atom_site_fract_x
_atom_site_fract_y
_atom_site_fract_z
_atom_site_occupancy
Tl1 Tl 0.3333 0.6667 0.2500 1
# - Final energy: -4.7 eV/cell
# - Energy of formation from the pure elements: 0.0095 eV/atom
# - Offset from the most stable computed form: 0.0095 eV per atom

***

# GGA-PBE TiGeO6, optimized geometry
data_TiGeO6
_chemical_formula_sum 'Ti4 Ge4 O24'
_symmetry_space_group_name_H-M 'F m -3 m'
_symmetry_Int_Tables_number 225
_symmetry_space_group_name_Hall '-F 4 2 3'
_cell_length_a 7.6032
_cell_length_b 7.6032
_cell_length_c 7.6032
_cell_angle_alpha 90.00
_cell_angle_beta 90.00
_cell_angle_gamma 90.00
loop_
_atom_site_label
_atom_site_type_symbol
_atom_site_fract_x
_atom_site_fract_y
_atom_site_fract_z
_atom_site_occupancy
Ti1 Ti 0.0000 0.0000 0.0000 1
Ge1 Ge 0.0000 0.0000 0.5000 1
O1 O 0.0000 0.0000 0.2543 1
# - Final energy: -205.0 eV/cell

***

# GGA-PBE ZrAg3Br, optimized geometry
data_ZrAg3Br
_chemical_formula_sum 'Zr1 Ag3 Br1'
_symmetry_space_group_name_H-M 'P m -3 m'
_symmetry_Int_Tables_number 221
_symmetry_space_group_name_Hall '-P 4 2 3'
_cell_length_a 5.1010
_cell_length_b 5.1010
_cell_length_c 5.1010
_cell_angle_alpha 90.00
_cell_angle_beta 90.00
_cell_angle_gamma 90.00
loop_
_atom_site_label
_atom_site_type_symbol
_atom_site_fract_x
_atom_site_fract_y
_atom_site_fract_z
_atom_site_occupancy
Zr1 Zr 0.0000 0.0000 0.0000 1
Ag1 Ag 0.0000 0.5000 0.5000 1
Br1 Br 0.5000 0.5000 0.5000 1
# - Final energy: -13.5 eV/cell
# - Offset from the most stable computed form: 0.0000 eV per atom

***

# GGA-PBE K3Na2Tl8, optimized geometry
data_K3Na2Tl8
_chemical_formula_sum 'K6 Na4 Tl16'
_symmetry_space_group_name_H-M 'C 1 2/m 1'
_symmetry_Int_Tables_number 12
_cell_length_a 15.6712
_cell_length_b 7.5932
_cell_length_c 10.4904
_cell_angle_alpha 90.00
_cell_angle_beta 127.18
_cell_angle_gamma 90.00
loop_
_symmetry_equiv_pos_as_xyz
'x,y,z'
'-x,-y,-z'
'-x,y,-z'
'x,-y,z'
'x+1/2,y+1/2,z'
'-x+1/2,-y+1/2,-z'
'-x+1/2,y+1/2,-z'
'x+1/2,-y+1/2,z'
loop_
_atom_site_label
_atom_site_type_symbol
_atom_site_fract_x
_atom_site_fract_y
_atom_site_fract_z
_atom_site_occupancy
K1 K 0.0000 0.0000 0.0000 1
K2 K 0.2313 0.0000 0.7967 1
Na1 Na 0.1397 0.5000 0.7207 1
Tl1 Tl 0.0055 0.5000 0.1508 1
Tl2 Tl 0.0470 0.2127 0.3946 1
Tl3 Tl 0.2487 0.0000 0.4471 1
# - Final energy: -50.9 eV/cell
# - Energy of formation from the pure elements: -0.0443 eV/atom

***

# GGA-PBE Ac6La7, optimized geometry
data_Ac6La7
_chemical_formula_sum 'Ac18 La21'
_symmetry_space_group_name_H-M 'R -3 m'
_symmetry_Int_Tables_number 166
_symmetry_space_group_name_Hall '-R 3 2"'
_cell_length_a 6.9715
_cell_length_b 6.9715
_cell_length_c 37.1409
_cell_angle_alpha 90.00
_cell_angle_beta 90.00
_cell_angle_gamma 120.00
loop_
_atom_site_label
_atom_site_type_symbol
_atom_site_fract_x
_atom_site_fract_y
_atom_site_fract_z
_atom_site_occupancy
Ac1 Ac 0.0000 0.0000 0.0483 1
Ac2 Ac 0.0000 0.0000 0.1492 1
Ac3 Ac 0.0000 0.0000 0.3351 1
La1 La 0.0000 0.0000 0.5000 1
La2 La 0.0214 0.5107 0.9094 1
# - Final energy: -172.0 eV/cell
# - Energy of formation from the pure elements: 0.1391 eV/atom

***

Which value of final energy does entry 4 give? -13.5 eV/cell